# RbLiSc2Tl

A PBEsol-optimized structure of RbLiSc2Tl (SCAN, Alexandria).

abc: 5.281 5.281 5.322
angles: 90.00 90.00 90.00
Each line ends with the local moment (μB).
Atoms (fractional coordinates):
1 Sc 0.000 0.500 0.000  0.59
2 Sc 0.500 0.000 0.000  0.59
3 Tl 0.500 0.500 0.500  0.09
4 Rb 0.000 0.000 0.500  0.04
5 Li 0.000 0.000 0.000  0.11

* raw total energy: -24.06 eV per atom
* crystal system: tetragonal
* energy of formation from the pure elements: 0.74 eV per atom
* V: 29.68 A^3/atom